(1)
Entry from the Alexandria database: a relaxed structure of Ba2CuIrSe (PBE-GGA).

Unit cell a=6.0200 b=6.0200 c=4.3307 alpha=90.00 beta=90.00 gamma=90.00
With the nearest neighbours (Å) after each atom.
Positions (direct):
Ba1 0.0000 0.5000 0.0000  2 Cu 3.01
Ba2 0.5000 0.0000 0.0000  2 Cu 3.01
Cu1 0.0000 0.0000 0.0000  2 Se 2.17
Ir1 0.5000 0.5000 0.5000  8 Ba 3.71
Se1 0.0000 0.0000 0.5000  2 Cu 2.17

Output
V: 156.9 Å³/f.u.
polymorph energy (0 for the lowest one): 2.29 eV per formula unit
electronic total energy: -3.980 eV/atom



(2)
Entry from the Alexandria database: a relaxed structure of Nd6In2CO (PBE-GGA).

Unit cell a=7.1638 b=7.1638 c=7.1638 alpha=60.00 beta=60.00 gamma=60.00
With the nearest neighbours (Å) after each atom.
Positions (direct):
Nd1 0.2486 0.2486 0.7514  1 C 2.52, 1 O 2.55
Nd2 0.2486 0.7514 0.2486  1 C 2.52, 1 O 2.55
Nd3 0.2486 0.7514 0.7514  1 C 2.52, 1 O 2.55
Nd4 0.7514 0.2486 0.2486  1 C 2.52, 1 O 2.55
Nd5 0.7514 0.2486 0.7514  1 C 2.52, 1 O 2.55
Nd6 0.7514 0.7514 0.2486  1 C 2.52, 1 O 2.55
In1 0.2500 0.2500 0.2500  12 Nd 3.58
In2 0.7500 0.7500 0.7500  12 Nd 3.58
C1 0.0000 0.0000 0.0000  6 Nd 2.52
O1 0.5000 0.5000 0.5000  6 Nd 2.55

Output
V: 260.0 Å³/f.u.
electronic total energy: -5.729 eV/atom



(3)
Entry from the Alexandria database: a relaxed structure of Pr2ScCuO6 (PBE-GGA).

Unit cell a=5.3913 b=5.4590 c=10.2697 alpha=90.00 beta=118.44 gamma=90.00
With the nearest neighbours (Å) after each atom.
Positions (direct):
Pr1 0.2180 0.0430 0.2421  5 O 2.30-2.49
Pr2 0.2180 0.4570 0.7421  5 O 2.30-2.49
Pr3 0.7820 0.5430 0.2579  5 O 2.30-2.49
Pr4 0.7820 0.9570 0.7579  5 O 2.30-2.49
Sc1 0.5000 0.0000 0.0000  6 O 2.05-2.16
Sc2 0.5000 0.5000 0.5000  6 O 2.05-2.16
Cu1 0.0000 0.0000 0.5000  4 O 1.88-1.90
Cu2 0.0000 0.5000 0.0000  4 O 1.88-1.90
O1 0.1456 0.2319 0.9440  1 Cu 1.88
O2 0.1456 0.2681 0.4440  1 Cu 1.88
O3 0.1928 0.7083 0.9304  1 Cu 1.90
O4 0.1928 0.7917 0.4304  1 Cu 1.90
O5 0.3838 0.0350 0.7795  1 Sc 2.05
O6 0.3838 0.4650 0.2795  1 Sc 2.05
O7 0.6162 0.5350 0.7205  1 Sc 2.05
O8 0.6162 0.9650 0.2205  1 Sc 2.05
O9 0.8072 0.2083 0.5696  1 Cu 1.90
O10 0.8072 0.2917 0.0696  1 Cu 1.90
O11 0.8544 0.7319 0.5560  1 Cu 1.88
O12 0.8544 0.7681 0.0560  1 Cu 1.88

Output
V: 132.9 Å³/f.u.
electronic total energy: -7.620 eV/atom